(1)
First-principles (PBE) data for a geometry-optimized LaNi2 structure, as listed in Alexandria via LeMat-Bulk.

As for the formation energy: 399 meV/atom. As for the symmetry: Pa-3, No. 205.

```
LaNi2
1.0
-3.148 2.727 4.807
1.698 -4.787 3.828
5.259 3.178 1.642
Ni La
8 4
direct
0.397 0.397 0.397
0.603 0.603 0.603
0.897 0.103 0.603
0.103 0.897 0.397
0.603 0.897 0.103
0.397 0.103 0.897
0.103 0.603 0.897
0.897 0.397 0.103
0.000 0.000 0.000
0.500 0.500 0.000
0.500 0.000 0.500
0.000 0.500 0.500
```

---

(2)
First-principles (PBE) data for a geometry-optimized CeNp2N4 structure, as listed in Alexandria via LeMat-Bulk.

Its formation energy (no corrections) is -1093.7 meV/atom. For the offset from the most stable computed form, the calculation gives 126.8 meV/atom. As for the symmetry: I-42d, No. 122.

```
CeNp2N4
1.0
-4.278 2.999 3.472
-2.580 -1.509 -5.516
1.907 -5.260 2.838
Ce Np N
2 4 8
direct
0.000 0.000 0.000
0.750 0.500 0.250
0.875 0.129 0.504
0.496 0.371 0.625
0.375 0.871 0.746
0.254 0.629 0.125
0.143 0.886 0.389
0.611 0.754 0.496
0.007 0.614 0.754
0.246 0.254 0.861
0.607 0.746 0.993
0.743 0.246 0.857
0.503 0.114 0.257
0.139 0.386 0.393
```

---

no.,E (eV/atom),M_tot (μB/f.u.)
1,-5.097,0.000
2,-10.396,6.001